Compound: Ac6TeP3S2
Source: Alexandria
Functional: PBE-GGA
Structure: optimized geometry

Summary:
The total magnetization is 0.00 μB per cell. The calculation puts the density of states at the Fermi level at 0.372 states/eV per atom. The raw formation energy comes out at -1.697 eV/atom.

abc: 19.4694 4.4374 8.9513
angles: 90.00 103.82 90.00
With the nearest neighbours (Å) after each atom.
Space group C2/m (No. 12)
Unique sites:
Ac1 0.0009 0.0000 0.2289 [4 per cell]  3 P 3.02-3.11, 1 S 3.21, 2 Te 3.29
Ac2 0.1651 0.5000 0.0870 [4 per cell]  3 P 3.11-3.12, 3 S 3.15-3.18
Ac3 0.1745 0.5000 0.5822 [4 per cell]  3 P 3.03-3.13, 2 S 3.19, 1 Te 3.30
Te1 0.0000 0.5000 0.5000 [2 per cell]  6 Ac 3.29-3.30
P1 0.0000 0.5000 0.0000 [2 per cell]  6 Ac 3.02-3.12
P2 0.1651 0.0000 0.3312 [4 per cell]  6 Ac 3.03-3.13
S1 0.1686 0.0000 0.8350 [4 per cell]  6 Ac 3.15-3.21